Here is a relaxed Ga4CuAg crystal from Alexandria via LeMat-Bulk. Energies are from PBE.

Results
The uncorrected energy comes out at -3.177 eV/atom. As for the formation energy: -0.001 eV/atom. The calculation puts the energy above the lowest structure with this stoichiometry at 0.263 eV/f.u.

Lattice parameters (Å, degrees): 6.615 6.615 5.006 95.92 95.92 103.34
Fractional positions:
Ga  0.095  0.693  0.960
Ga  0.159  0.368  0.584
Ga  0.307  0.905  0.540
Ga  0.368  0.159  0.084
Ga  0.632  0.841  0.916
Ga  0.693  0.095  0.460
Ga  0.841  0.632  0.416
Ga  0.905  0.307  0.040
Cu  0.000  0.000  0.250
Cu  0.000  0.000  0.750
Ag  0.418  0.582  0.250
Ag  0.582  0.418  0.750

=====

Here is a relaxed Zn4Ga4Ag3 crystal from Alexandria via LeMat-Bulk. Energies are from PBE.

Results
The uncorrected energy comes out at -2.266 eV/atom. As for the formation energy: 0.075 eV/atom.

Lattice parameters (Å, degrees): 2.929 6.145 11.625 85.82 89.59 76.33
Fractional positions:
Zn  0.031  0.437  0.127
Zn  0.191  0.115  0.564
Zn  0.809  0.885  0.436
Zn  0.969  0.563  0.873
Ga  0.353  0.806  0.037
Ga  0.413  0.673  0.277
Ga  0.587  0.327  0.723
Ga  0.647  0.194  0.963
Ag  0.293  0.923  0.788
Ag  0.500  0.500  0.500
Ag  0.707  0.077  0.212

=====

Here is a relaxed Pm2HoMnN4 crystal from Alexandria via LeMat-Bulk. Energies are from PBE.

Results
Its formation energy from raw total energies is -95.8 kJ per mole of atoms. The uncorrected energy comes out at -8.062 eV/atom.

Lattice parameters (Å, degrees): 6.090 6.090 11.909 90.00 90.00 147.55
Fractional positions:
Pm  0.133  0.867  0.543
Pm  0.133  0.867  0.957
Pm  0.867  0.133  0.043
Pm  0.867  0.133  0.457
Ho  0.373  0.627  0.750
Ho  0.627  0.373  0.250
Mn  0.346  0.654  0.250
Mn  0.654  0.346  0.750
N  0.084  0.916  0.750
N  0.229  0.771  0.140
N  0.229  0.771  0.360
N  0.500  0.500  0.000
N  0.500  0.500  0.500
N  0.771  0.229  0.640
N  0.771  0.229  0.860
N  0.916  0.084  0.250

=====

Here is a relaxed Be2TlSF crystal from Alexandria via LeMat-Bulk. Energies are from PBE.

Results
Its formation energy from raw total energies is -11.0 kJ per mole of atoms. The uncorrected energy comes out at -3.278 eV/atom. The calculation puts the energy above the lowest structure with this stoichiometry at 0.000 eV/f.u.

Lattice parameters (Å, degrees): 3.935 3.935 8.004 90.00 90.00 90.00
Fractional positions:
Be  0.000  0.500  0.000
Be  0.500  0.000  0.000
Tl  0.000  0.000  0.500
S  0.000  0.000  0.000
F  0.500  0.500  0.500